(1)
Below is crystalline SiTcAg2 at its relaxed geometry, with properties calculated at the GGA-PBE level.

Unit cell a=2.808 b=2.808 c=8.882 alpha=90.00 beta=90.00 gamma=112.19
Fractional coordinates of all 4 atoms:
Ag 0.000 0.000 0.993
Ag 0.500 0.500 0.267
Si 0.000 0.000 0.519
Tc 0.500 0.500 0.720

Results
Energy relative to the elements, uncorrected ... 0.22 eV per atom

=====

(2)
Below is crystalline PrNd3Er2P6 at its relaxed geometry, with properties calculated at the GGA-PBE level.

Unit cell a=7.119 b=7.119 c=7.118 alpha=99.60 beta=99.60 gamma=120.00
Fractional coordinates of all 12 atoms:
Pr 0.000 0.000 0.000
Nd 0.165 0.835 0.500
Nd 0.835 0.165 0.500
Nd 0.500 0.500 0.500
Er 0.333 0.667 0.000
Er 0.667 0.333 0.000
P 0.919 0.578 0.757
P 0.740 0.740 0.242
P 0.081 0.422 0.243
P 0.578 0.919 0.757
P 0.260 0.260 0.758
P 0.422 0.081 0.243

Results
Formation enthalpy at 0 K ... -1.54 eV per atom

=====

(3)
Below is crystalline Pu2ThCo at its relaxed geometry, with properties calculated at the GGA-PBE level.

Unit cell a=4.311 b=4.311 c=5.912 alpha=68.62 beta=68.62 gamma=60.00
Fractional coordinates of all 4 atoms:
Co 0.500 0.500 0.500
Th 0.000 0.000 0.000
Pu 0.819 0.819 0.543
Pu 0.181 0.181 0.457

Results
Excess energy over the best structure of this formula in the dataset ... 0.408 eV/atom
Formation enthalpy at 0 K ... 0.51 eV per atom

=====

no.,size of the total moment (μB per cell),energy (eV per cell)
1,0.000,-20.6
2,0.000,-79.2
3,0.006,-41.2